This record from Alexandria via LeMat-Bulk describes a geometry-optimized Ni2MoIr structure. The functional is GGA-PBE.

Its formation energy from the elements is -0.19 eV per atom. For the excess energy over the best structure of this formula in the dataset, the calculation gives 0.00 eV/f.u. As for the density of states at the Fermi level: 11.3 states/eV per cell. As for the total energy: -8.007 eV/atom.

Lattice parameters (Å, degrees): 4.263 5.246 9.279 90.00 90.00 90.00
Element x y z (fractional)
Ni1 0.250 0.006 0.663
Ni2 0.250 0.494 0.163
Ni3 0.750 0.994 0.337
Ni4 0.750 0.506 0.837
Ni5 0.250 0.759 0.417
Ni6 0.250 0.741 0.917
Ni7 0.750 0.241 0.583
Ni8 0.750 0.259 0.083
Mo1 0.250 0.250 0.420
Mo2 0.250 0.250 0.920
Mo3 0.750 0.750 0.580
Mo4 0.750 0.750 0.080
Ir1 0.250 0.502 0.668
Ir2 0.250 0.998 0.168
Ir3 0.750 0.498 0.332
Ir4 0.750 0.002 0.832